(1)
A plane-wave DFT calculation with PBE was carried out for a relaxed structure of TmRePb.

abc: 6.7816 6.7816 6.7816
angles: 90.00 90.00 90.00
With the nearest neighbours (Å) after each atom.
Space group F-43m (No. 216)
Asymmetric unit:
Tm: 0.0000 0.0000 0.0000 x4  4 Re 2.94, 4 Pb 2.94
Re: 0.2500 0.2500 0.2500 x4  4 Tm 2.94
Pb: 0.2500 0.2500 0.7500 x4  4 Tm 2.94

Computed properties:
Total energy (eV per atom): -5.6763
M_tot (μB/f.u.): 0.05
Excess energy over the best structure of this formula in the dataset (eV/atom): 0.355

=====

(2)
A plane-wave DFT calculation with PBE was carried out for a relaxed structure of URePb.

abc: 6.7742 6.7742 6.7742
angles: 90.00 90.00 90.00
With the nearest neighbours (Å) after each atom.
Space group F-43m (No. 216)
Asymmetric unit:
U: 0.0000 0.0000 0.0000 x4  4 Pb 2.93, 4 Re 2.93
Re: 0.2500 0.2500 0.2500 x4  4 U 2.93
Pb: 0.2500 0.2500 0.7500 x4  4 U 2.93

Computed properties:
Total energy (eV per atom): -7.7707
M_tot (μB/f.u.): 0.65
Excess energy over the best structure of this formula in the dataset (eV/atom): 0.702